# AlInFeO4

AlInFeO4 after structural relaxation (PBE+U, the Alexandria database).

The structure in POSCAR format:
```
AlInFeO4
1.0
6.010 0.000 0.000
3.005 5.313 0.021
3.005 1.638 5.054
O In Al Fe
8 2 2 2
direct
0.255 0.251 0.239
0.745 0.749 0.761
0.255 0.252 0.752
0.745 0.748 0.248
0.741 0.252 0.752
0.745 0.261 0.249
0.255 0.739 0.751
0.259 0.748 0.248
0.000 0.000 0.000
0.000 0.500 0.500
0.370 0.380 0.880
0.630 0.620 0.120
0.500 0.000 0.500
0.000 0.000 0.500
```

## Properties
The raw total energy is -45.83 eV/f.u.